# NiAg6F8 | the Alexandria database | GGA+U | optimized geometry
data_NiAg6F8
_chemical_formula_sum 'Ni3 Ag18 F24'
_symmetry_space_group_name_H-M 'R -3'
_symmetry_Int_Tables_number 148
_symmetry_space_group_name_Hall '-R 3'
_cell_length_a 7.2349
_cell_length_b 7.2349
_cell_length_c 14.3372
_cell_angle_alpha 90.00
_cell_angle_beta 90.00
_cell_angle_gamma 120.00
loop_
_atom_site_label
_atom_site_type_symbol
_atom_site_fract_x
_atom_site_fract_y
_atom_site_fract_z
_atom_site_occupancy
Ni1 Ni 0.0000 0.0000 0.0000 1
Ag1 Ag 0.0044 0.4209 0.0940 1
F1 F 0.0000 0.0000 0.3552 1
F2 F 0.0353 0.2450 0.9184 1
# Raw total energy = -3.502 eV per atom